w.
Compound: CoTeRhN2
Source: the Alexandria database
Functional: GGA-PBE
Structure: relaxed

Results
- V: 85.3 Å³ per cell
- Density of states at the Fermi level: 3.5 states/eV/cell
- Total magnetization: 0.4402 μB per atom

a b c (Å): 3.7659 3.7659 6.0164
angles (deg): 90.00 90.00 90.00
Space group P4/mmm (No. 123)
One atom of each set of equivalent atoms:
Co  0.0000  0.0000  0.0000 [1 per cell]
Te  0.5000  0.5000  0.0000 [1 per cell]
Rh  0.5000  0.5000  0.5000 [1 per cell]
N  0.0000  0.5000  0.5000 [2 per cell]

x.
Compound: CoTeRhN2
Source: the Alexandria database
Functional: GGA-PBE
Structure: relaxed

Results
- V: 75.6 Å³ per cell
- Density of states at the Fermi level: 4.0 states/eV/cell
- Total magnetization: 0.3013 μB per atom

a b c (Å): 3.6365 3.6365 5.7149
angles (deg): 90.00 90.00 90.00
Space group P4/mmm (No. 123)
One atom of each set of equivalent atoms:
Co  0.0000  0.0000  0.0000 [1 per cell]
Te  0.0000  0.0000  0.5000 [1 per cell]
Rh  0.5000  0.5000  0.5000 [1 per cell]
N  0.0000  0.5000  0.0000 [2 per cell]

So which one wins? Going from most stable to least: x, w.

w.
Compound: CoRuS2N
Source: the Alexandria database
Functional: GGA-PBE
Structure: relaxed

Results
- V: 68.9 Å³ per cell
- Density of states at the Fermi level: 5.2 states/eV/cell
- Total magnetization: 0.0000 μB per atom

a b c (Å): 4.5734 4.5734 3.2928
angles (deg): 90.00 90.00 90.00
Space group P4/mmm (No. 123)
One atom of each set of equivalent atoms:
Co  0.0000  0.0000  0.0000 [1 per cell]
Ru  0.5000  0.5000  0.5000 [1 per cell]
S  0.0000  0.5000  0.0000 [2 per cell]
N  0.0000  0.0000  0.5000 [1 per cell]

x.
Compound: CoRuS2N
Source: the Alexandria database
Functional: GGA-PBE
Structure: relaxed

Results
- V: 83.2 Å³ per cell
- Density of states at the Fermi level: 4.3 states/eV/cell
- Total magnetization: 0.4427 μB per atom

a b c (Å): 4.7961 4.7961 3.6178
angles (deg): 90.00 90.00 90.00
Space group P4/mmm (No. 123)
One atom of each set of equivalent atoms:
Co  0.0000  0.0000  0.0000 [1 per cell]
Ru  0.5000  0.5000  0.5000 [1 per cell]
S  0.0000  0.5000  0.5000 [2 per cell]
N  0.5000  0.5000  0.0000 [1 per cell]

So which one wins? Going from most stable to least: w, x.

w.
Compound: CoRuSeN2
Source: the Alexandria database
Functional: GGA-PBE
Structure: relaxed

Results
- V: 74.9 Å³ per cell
- Density of states at the Fermi level: 4.1 states/eV/cell
- Total magnetization: 0.2237 μB per atom

a b c (Å): 3.5052 3.5052 6.0936
angles (deg): 90.00 90.00 90.00
Space group P4/mmm (No. 123)
One atom of each set of equivalent atoms:
Co  0.0000  0.0000  0.0000 [1 per cell]
Ru  0.5000  0.5000  0.5000 [1 per cell]
Se  0.0000  0.0000  0.5000 [1 per cell]
N  0.0000  0.5000  0.0000 [2 per cell]

x.
Compound: CoRuSeN2
Source: the Alexandria database
Functional: GGA-PBE
Structure: relaxed

Results
- V: 77.0 Å³ per cell
- Density of states at the Fermi level: 7.2 states/eV/cell
- Total magnetization: 0.5114 μB per atom

a b c (Å): 3.7333 3.7333 5.5236
angles (deg): 90.00 90.00 90.00
Space group P4/mmm (No. 123)
One atom of each set of equivalent atoms:
Co  0.0000  0.0000  0.0000 [1 per cell]
Ru  0.5000  0.5000  0.5000 [1 per cell]
Se  0.5000  0.5000  0.0000 [1 per cell]
N  0.0000  0.5000  0.5000 [2 per cell]

So which one wins? Going from most stable to least: x, w.

w.
Compound: CoS2N
Source: the Alexandria database
Functional: GGA-PBE
Structure: relaxed

Results
- V: 181.0 Å³ per cell
- Density of states at the Fermi level: 11.6 states/eV/cell
- Total magnetization: 0.1115 μB per atom

a b c (Å): 5.6562 5.6562 5.6562
angles (deg): 90.00 90.00 90.00
Space group Fm-3m (No. 225)
One atom of each set of equivalent atoms:
Co  0.0000  0.0000  0.0000 [4 per cell]
S  0.2500  0.2500  0.2500 [8 per cell]
N  0.0000  0.0000  0.5000 [4 per cell]

x.
Compound: CoS2N
Source: the Alexandria database
Functional: GGA-PBE
Structure: relaxed

Results
- V: 163.8 Å³ per cell
- Density of states at the Fermi level: 3.7 states/eV/cell
- Total magnetization: 0.0000 μB per atom

a b c (Å): 3.4455 3.4455 15.9371
angles (deg): 90.00 90.00 120.00
Space group R-3m (No. 166, hexagonal axes)
One atom of each set of equivalent atoms:
Co  0.0000  0.0000  0.0000 [3 per cell]
S  0.0000  0.0000  0.4018 [6 per cell]
N  0.0000  0.0000  0.5000 [3 per cell]

So which one wins? Going from most stable to least: x, w.

w.
Compound: CoS2N2
Source: the Alexandria database
Functional: GGA-PBE
Structure: relaxed

Results
- V: 70.6 Å³ per cell
- Density of states at the Fermi level: 4.0 states/eV/cell
- Total magnetization: 0.1153 μB per atom

a b c (Å): 4.5949 4.5949 3.3421
angles (deg): 90.00 90.00 90.00
Space group P4/mmm (No. 123)
One atom of each set of equivalent atoms:
Co  0.0000  0.0000  0.0000 [1 per cell]
S  0.0000  0.5000  0.0000 [2 per cell]
N  0.0000  0.0000  0.5000 [1 per cell]
N  0.5000  0.5000  0.5000 [1 per cell]

x.
Compound: CoS2N2
Source: the Alexandria database
Functional: GGA-PBE
Structure: relaxed

Results
- V: 94.9 Å³ per cell
- Density of states at the Fermi level: 4.1 states/eV/cell
- Total magnetization: 0.0000 μB per atom

a b c (Å): 3.4354 3.4354 8.0449
angles (deg): 90.00 90.00 90.00
Space group P4/mmm (No. 123)
One atom of each set of equivalent atoms:
Co  0.0000  0.0000  0.0000 [1 per cell]
S  0.0000  0.0000  0.5000 [1 per cell]
S  0.5000  0.5000  0.5000 [1 per cell]
N  0.0000  0.5000  0.0000 [2 per cell]

y.
Compound: CoS2N2
Source: the Alexandria database
Functional: GGA-PBE
Structure: relaxed

Results
- V: 80.0 Å³ per cell
- Density of states at the Fermi level: 6.9 states/eV/cell
- Total magnetization: 0.4898 μB per atom

a b c (Å): 3.3110 3.3110 7.2981
angles (deg): 90.00 90.00 90.00
Space group P4/mmm (No. 123)
One atom of each set of equivalent atoms:
Co  0.0000  0.0000  0.0000 [1 per cell]
S  0.5000  0.5000  0.0000 [1 per cell]
S  0.5000  0.5000  0.5000 [1 per cell]
N  0.0000  0.5000  0.5000 [2 per cell]

So which one wins? Going from most stable to least: x, y, w.

w.
Compound: Co2SN
Source: the Alexandria database
Functional: GGA-PBE
Structure: relaxed

Results
- V: 157.3 Å³ per cell
- Density of states at the Fermi level: 12.8 states/eV/cell
- Total magnetization: 0.5058 μB per atom

a b c (Å): 5.3986 5.3986 5.3986
angles (deg): 90.00 90.00 90.00
Space group Fm-3m (No. 225)
One atom of each set of equivalent atoms:
Co  0.2500  0.2500  0.2500 [8 per cell]
S  0.0000  0.0000  0.0000 [4 per cell]
N  0.0000  0.0000  0.5000 [4 per cell]

x.
Compound: Co2SN
Source: the Alexandria database
Functional: GGA-PBE
Structure: relaxed

Results
- V: 193.3 Å³ per cell
- Density of states at the Fermi level: 17.7 states/eV/cell
- Total magnetization: 0.0000 μB per atom

a b c (Å): 4.4808 4.4808 9.6301
angles (deg): 90.00 90.00 90.00
Space group I-42d (No. 122)
One atom of each set of equivalent atoms:
Co  0.1790  0.2500  0.1250 [8 per cell]
S  0.0000  0.0000  0.5000 [4 per cell]
N  0.0000  0.0000  0.0000 [4 per cell]

So which one wins? Going from most stable to least: x, w.

w.
Compound: Co2S2N
Source: the Alexandria database
Functional: GGA-PBE
Structure: relaxed

Results
- V: 120.0 Å³ per cell
- Density of states at the Fermi level: 15.4 states/eV/cell
- Total magnetization: 0.5819 μB per atom

a b c (Å): 6.2967 6.2967 3.0262
angles (deg): 90.00 90.00 90.00
Space group P4/mbm (No. 127)
One atom of each set of equivalent atoms:
Co  0.1423  0.3577  0.0000 [4 per cell]
S  0.1686  0.6686  0.5000 [4 per cell]
N  0.0000  0.0000  0.5000 [2 per cell]

x.
Compound: Co2S2N
Source: the Alexandria database
Functional: GGA-PBE
Structure: relaxed

Results
- V: 120.3 Å³ per cell
- Density of states at the Fermi level: 7.7 states/eV/cell
- Total magnetization: 0.0813 μB per atom

a b c (Å): 5.0884 5.0884 4.6452
angles (deg): 90.00 90.00 90.00
Space group P4/mbm (No. 127)
One atom of each set of equivalent atoms:
Co  0.1848  0.3152  0.0000 [4 per cell]
S  0.1447  0.3553  0.5000 [4 per cell]
N  0.0000  0.0000  0.0000 [2 per cell]

So which one wins? Going from most stable to least: x, w.

w.
Compound: CoSeSN2
Source: the Alexandria database
Functional: GGA-PBE
Structure: relaxed

Results
- V: 83.4 Å³ per cell
- Density of states at the Fermi level: 6.5 states/eV/cell
- Total magnetization: 0.4136 μB per atom

a b c (Å): 3.3795 3.3795 7.3024
angles (deg): 90.00 90.00 90.00
Space group P4/mmm (No. 123)
One atom of each set of equivalent atoms:
Co  0.0000  0.0000  0.0000 [1 per cell]
Se  0.5000  0.5000  0.0000 [1 per cell]
S  0.5000  0.5000  0.5000 [1 per cell]
N  0.0000  0.5000  0.5000 [2 per cell]

x.
Compound: CoSeSN2
Source: the Alexandria database
Functional: GGA-PBE
Structure: relaxed

Results
- V: 94.6 Å³ per cell
- Density of states at the Fermi level: 4.2 states/eV/cell
- Total magnetization: 0.0509 μB per atom

a b c (Å): 3.4927 3.4927 7.7584
angles (deg): 90.00 90.00 90.00
Space group P4/mmm (No. 123)
One atom of each set of equivalent atoms:
Co  0.0000  0.0000  0.0000 [1 per cell]
Se  0.0000  0.0000  0.5000 [1 per cell]
S  0.5000  0.5000  0.5000 [1 per cell]
N  0.0000  0.5000  0.0000 [2 per cell]

So which one wins? Going from most stable to least: x, w.

w.
Compound: CoSiSN2
Source: the Alexandria database
Functional: GGA-PBE
Structure: relaxed

Results
- V: 71.1 Å³ per cell
- Density of states at the Fermi level: 4.0 states/eV/cell
- Total magnetization: 0.4879 μB per atom

a b c (Å): 3.3686 3.3686 6.2670
angles (deg): 90.00 90.00 90.00
Space group P4/mmm (No. 123)
One atom of each set of equivalent atoms:
Co  0.0000  0.0000  0.0000 [1 per cell]
Si  0.5000  0.5000  0.5000 [1 per cell]
S  0.5000  0.5000  0.0000 [1 per cell]
N  0.0000  0.5000  0.5000 [2 per cell]

x.
Compound: CoSiSN2
Source: the Alexandria database
Functional: GGA-PBE
Structure: relaxed

Results
- V: 62.9 Å³ per cell
- Density of states at the Fermi level: 4.5 states/eV/cell
- Total magnetization: 0.0003 μB per atom

a b c (Å): 3.5918 3.5918 4.8770
angles (deg): 90.00 90.00 90.00
Space group P4/mmm (No. 123)
One atom of each set of equivalent atoms:
Co  0.0000  0.0000  0.0000 [1 per cell]
Si  0.5000  0.5000  0.5000 [1 per cell]
S  0.0000  0.0000  0.5000 [1 per cell]
N  0.0000  0.5000  0.0000 [2 per cell]

So which one wins? Going from most stable to least: w, x.

w.
Compound: CoSiS2N
Source: the Alexandria database
Functional: GGA-PBE
Structure: relaxed

Results
- V: 73.5 Å³ per cell
- Density of states at the Fermi level: 2.9 states/eV/cell
- Total magnetization: 0.0000 μB per atom

a b c (Å): 4.6611 4.6611 3.3816
angles (deg): 90.00 90.00 90.00
Space group P4/mmm (No. 123)
One atom of each set of equivalent atoms:
Co  0.0000  0.0000  0.0000 [1 per cell]
Si  0.5000  0.5000  0.5000 [1 per cell]
S  0.0000  0.5000  0.0000 [2 per cell]
N  0.0000  0.0000  0.5000 [1 per cell]

x.
Compound: CoSiS2N
Source: the Alexandria database
Functional: GGA-PBE
Structure: relaxed

Results
- V: 74.1 Å³ per cell
- Density of states at the Fermi level: 2.7 states/eV/cell
- Total magnetization: 0.5521 μB per atom

a b c (Å): 4.7677 4.7677 3.2595
angles (deg): 90.00 90.00 90.00
Space group P4/mmm (No. 123)
One atom of each set of equivalent atoms:
Co  0.0000  0.0000  0.0000 [1 per cell]
Si  0.5000  0.5000  0.5000 [1 per cell]
S  0.0000  0.5000  0.5000 [2 per cell]
N  0.5000  0.5000  0.0000 [1 per cell]

So which one wins? Going from most stable to least: w, x.

w.
Compound: CoSnSN2
Source: the Alexandria database
Functional: GGA-PBE
Structure: relaxed

Results
- V: 87.3 Å³ per cell
- Density of states at the Fermi level: 6.4 states/eV/cell
- Total magnetization: 0.9995 μB per atom

a b c (Å): 4.0528 4.0528 5.3168
angles (deg): 90.00 90.00 90.00
Space group P4/mmm (No. 123)
One atom of each set of equivalent atoms:
Co  0.0000  0.0000  0.0000 [1 per cell]
Sn  0.5000  0.5000  0.5000 [1 per cell]
S  0.5000  0.5000  0.0000 [1 per cell]
N  0.0000  0.5000  0.5000 [2 per cell]

x.
Compound: CoSnSN2
Source: the Alexandria database
Functional: GGA-PBE
Structure: relaxed

Results
- V: 69.3 Å³ per cell
- Density of states at the Fermi level: 3.5 states/eV/cell
- Total magnetization: 0.6098 μB per atom

a b c (Å): 3.8008 3.8008 4.7961
angles (deg): 90.00 90.00 90.00
Space group P4/mmm (No. 123)
One atom of each set of equivalent atoms:
Co  0.0000  0.0000  0.0000 [1 per cell]
Sn  0.5000  0.5000  0.5000 [1 per cell]
S  0.0000  0.0000  0.5000 [1 per cell]
N  0.0000  0.5000  0.0000 [2 per cell]

So which one wins? Going from most stable to least: x, w.

w.
Compound: SrCoS2N
Source: the Alexandria database
Functional: GGA-PBE
Structure: relaxed

Results
- V: 84.7 Å³ per cell
- Density of states at the Fermi level: 2.3 states/eV/cell
- Total magnetization: 0.0000 μB per atom

a b c (Å): 4.9194 4.9194 3.4990
angles (deg): 90.00 90.00 90.00
Space group P4/mmm (No. 123)
One atom of each set of equivalent atoms:
Sr  0.0000  0.0000  0.0000 [1 per cell]
Co  0.5000  0.5000  0.5000 [1 per cell]
S  0.0000  0.5000  0.5000 [2 per cell]
N  0.5000  0.5000  0.0000 [1 per cell]

x.
Compound: SrCoS2N
Source: the Alexandria database
Functional: GGA-PBE
Structure: relaxed

Results
- V: 147.0 Å³ per cell
- Density of states at the Fermi level: 6.1 states/eV/cell
- Total magnetization: 1.1931 μB per atom

a b c (Å): 5.5607 5.5607 4.7543
angles (deg): 90.00 90.00 90.00
Space group P4/mmm (No. 123)
One atom of each set of equivalent atoms:
Sr  0.0000  0.0000  0.0000 [1 per cell]
Co  0.5000  0.5000  0.5000 [1 per cell]
S  0.0000  0.5000  0.0000 [2 per cell]
N  0.0000  0.0000  0.5000 [1 per cell]

So which one wins? Going from most stable to least: w, x.